FeCuNiC2 | SCAN | PBEsol geometry

a = 3.613 Å, b = 3.613 Å, c = 4.485 Å
α = 90.00°, β = 90.00°, γ = 90.00°
Last column: magnetic moment on the atom in μB.
Sites, in units of the cell vectors:
Ni (0.500, 0.500, 0.500)  0.82
C (0.000, 0.500, 0.000)  0.05
C (0.500, 0.000, 0.000)  0.05
Fe (0.000, 0.000, 0.500)  3.15
Cu (0.000, 0.000, 0.000)  0.04

Output
The magnetization comes out at 0.81 μB per atom. For the energy of formation, the calculation gives 2162 meV per atom.

***

Y2BiPt2 | SCAN | PBEsol geometry

a = 3.556 Å, b = 7.874 Å, c = 7.874 Å
α = 90.00°, β = 90.00°, γ = 90.00°
Sites, in units of the cell vectors:
Y (0.500, 0.168, 0.668)
Y (0.500, 0.668, 0.832)
Y (0.500, 0.832, 0.332)
Y (0.500, 0.332, 0.168)
Bi (0.000, 0.000, 0.000)
Bi (0.000, 0.500, 0.500)
Pt (0.000, 0.374, 0.874)
Pt (0.000, 0.874, 0.626)
Pt (0.000, 0.626, 0.126)
Pt (0.000, 0.126, 0.374)

Output
The magnetization comes out at 0.00 μB per atom. For the energy of formation, the calculation gives -1272 meV per atom.

***

Mg10FeO11 | SCAN | PBEsol geometry

a = 5.135 Å, b = 6.628 Å, c = 6.628 Å
α = 107.45°, β = 104.97°, γ = 97.44°
Last column: magnetic moment on the atom in μB.
Sites, in units of the cell vectors:
Mg (0.455, 0.090, 0.320)  0.00
Mg (0.545, 0.910, 0.680)  0.00
Mg (0.909, 0.181, 0.140)  0.00
Mg (0.091, 0.819, 0.860)  0.00
Mg (0.362, 0.271, 0.952)  0.00
Mg (0.638, 0.729, 0.048)  0.00
Mg (0.272, 0.451, 0.591)  0.00
Mg (0.728, 0.549, 0.409)  0.00
Mg (0.821, 0.362, 0.772)  0.00
Mg (0.179, 0.638, 0.228)  0.00
Fe (0.000, 0.000, 0.500)  0.06
O (0.500, 0.000, 0.000)  0.00
O (0.046, 0.911, 0.185)  0.00
O (0.954, 0.089, 0.815)  0.00
O (0.404, 0.179, 0.635)  0.00
O (0.596, 0.821, 0.365)  0.00
O (0.318, 0.364, 0.273)  0.00
O (0.682, 0.636, 0.727)  0.00
O (0.865, 0.270, 0.456)  0.00
O (0.135, 0.730, 0.544)  0.00
O (0.228, 0.547, 0.910)  0.00
O (0.772, 0.453, 0.090)  0.00

Output
The magnetization comes out at 0.00 μB per atom. As for the total energy: -9.047 eV/atom.